Material: Mg4Si2Pb
Method: DFT, GGA-PBE
State: optimized geometry

Cell lengths 5.541, 5.541, 7.636 Å; angles 68.73, 68.73, 90.00 degrees
Element x y z (fractional)
Mg1 0.785 0.785 0.430
Mg2 0.000 0.500 0.000
Pb1 0.000 0.000 0.000
Si1 0.588 0.588 0.825
Si2 0.412 0.412 0.175
Mg3 0.500 0.000 0.000
Mg4 0.215 0.215 0.570

Mass density, g/cm³: 2.98
Fermi-level density of states, states/eV per cell: 5.62
V, A^3/atom: 28.7
ΔE_f (raw), meV/atom: 526